No. 1
# NaTc3O12

NaTc3O12 after structural relaxation (GGA-PBE, the Alexandria database).

Properties
ρ: 2.82 g cm⁻³
volume: 599.9 Å³ per cell
space group: R3c (161)
size of the total moment: 4.32 Bohr magnetons per cell
uncorrected formation energy: -1.136 eV per atom
E: -6.880 eV per atom

Lattice parameters (Å, degrees): 9.5257 9.5257 9.5257 59.19 59.19 59.19
Fractional positions:
1 Na 0.0000 0.0000 0.0000
2 Na 0.5000 0.5000 0.5000
3 Tc 0.0992 0.8849 0.4307
4 Tc 0.3849 0.5992 0.9307
5 Tc 0.4307 0.0992 0.8849
6 Tc 0.5992 0.9307 0.3849
7 Tc 0.8849 0.4307 0.0992
8 Tc 0.9307 0.3849 0.5992
9 O 0.0132 0.1637 0.7042
10 O 0.0138 0.9300 0.2797
11 O 0.0962 0.4614 0.4357
12 O 0.1637 0.7042 0.0132
13 O 0.2042 0.6637 0.5132
14 O 0.2550 0.9884 0.3198
15 O 0.2797 0.0138 0.9300
16 O 0.3198 0.2550 0.9884
17 O 0.4300 0.5138 0.7797
18 O 0.4357 0.0962 0.4614
19 O 0.4614 0.4357 0.0962
20 O 0.4884 0.7550 0.8198
21 O 0.5132 0.2042 0.6637
22 O 0.5138 0.7797 0.4300
23 O 0.5962 0.9357 0.9614
24 O 0.6637 0.5132 0.2042
25 O 0.7042 0.0132 0.1637
26 O 0.7550 0.8198 0.4884
27 O 0.7797 0.4300 0.5138
28 O 0.8198 0.4884 0.7550
29 O 0.9300 0.2797 0.0138
30 O 0.9357 0.9614 0.5962
31 O 0.9614 0.5962 0.9357
32 O 0.9884 0.3198 0.2550

***

No. 2
# NaSn2BrCl4

NaSn2BrCl4 after structural relaxation (GGA-PBE, the Alexandria database).

Properties
ρ: 3.47 g cm⁻³
volume: 230.6 Å³ per cell
space group: C2/m (12)
size of the total moment: 0.00 Bohr magnetons per cell
uncorrected formation energy: -1.137 eV per atom
E: -3.435 eV per atom

Lattice parameters (Å, degrees): 7.0790 7.0790 9.6461 117.31 117.31 32.91
Fractional positions:
1 Na 0.0000 0.0000 0.0000
2 Sn 0.1819 0.1819 0.7427
3 Sn 0.8181 0.8181 0.2573
4 Br 0.5000 0.5000 0.5000
5 Cl 0.1911 0.1911 0.2944
6 Cl 0.3740 0.3740 0.0565
7 Cl 0.6260 0.6260 0.9435
8 Cl 0.8089 0.8089 0.7056

***

No. 3
# CoNiHg2

CoNiHg2 after structural relaxation (GGA-PBE, the Alexandria database).

Properties
ρ: 12.96 g cm⁻³
volume: 66.5 Å³ per cell
space group: C2/m (12)
size of the total moment: 1.71 Bohr magnetons per cell
DFT formation energy: 0.473 eV/atom
E: -2.900 eV per atom

Lattice parameters (Å, degrees): 4.5342 4.5342 5.3278 100.34 100.34 38.17
Fractional positions:
1 Co 0.0000 0.0000 0.0000
2 Ni 0.5000 0.5000 0.5000
3 Hg 0.2490 0.2490 0.7488
4 Hg 0.7510 0.7510 0.2512

***

No. 4
# BaSr2SnAs

BaSr2SnAs after structural relaxation (GGA-PBE, the Alexandria database).

Properties
ρ: 3.67 g cm⁻³
volume: 228.9 Å³ per cell
space group: P4mm (99)
size of the total moment: 1.03 Bohr magnetons per cell
DFT formation energy: -0.648 eV/atom
E: -3.436 eV per atom

Lattice parameters (Å, degrees): 5.8515 5.8515 6.6857 90.00 90.00 90.00
Fractional positions:
1 Ba 0.0000 0.0000 0.0000
2 Sr 0.0000 0.5000 0.4323
3 Sr 0.5000 0.0000 0.4323
4 Sn 0.5000 0.5000 0.1241
5 As 0.0000 0.0000 0.5289